Entry 1:
The following is a DFT calculation (PBE-GGA) of CeScZnRe after structural relaxation.

Summary:
- energy relative to the elements (meV per atom) = -77
- DOS at the Fermi energy (states/eV/f.u.) = 5.2

a = 4.826 Å, b = 4.826 Å, c = 4.826 Å
α = 60.00°, β = 60.00°, γ = 60.00°
Fractional positions:
Re 0.500 0.500 0.500
Zn 0.000 0.000 0.000
Sc 0.250 0.250 0.250
Ce 0.750 0.750 0.750

Entry 2:
The following is a DFT calculation (PBE-GGA) of HfCu5S5 after structural relaxation.

Summary:
- formation energy (no corrections) (kJ/mol of atoms) = -36.7
- DOS at the Fermi energy (states/eV/f.u.) = 3.2

a = 4.940 Å, b = 6.274 Å, c = 8.314 Å
α = 124.87°, β = 90.00°, γ = 113.18°
Fractional positions:
S 0.884 0.767 0.175
Cu 0.362 0.724 0.155
Cu 0.638 0.276 0.845
S 0.734 0.469 0.653
S 0.500 0.000 0.000
Hf 0.000 0.000 0.000
Cu 0.288 0.576 0.648
Cu 0.000 0.000 0.500
S 0.266 0.531 0.347
Cu 0.712 0.424 0.352
S 0.116 0.233 0.825